[1]
La4Sm3Hg3N2 after structural relaxation. Source: the Alexandria database, functional PBE.

CIF file:
```
data_La4Sm3Hg3N2
_chemical_formula_sum 'La8 Sm6 Hg6 N4'
_cell_length_a 5.0559
_cell_length_b 5.1500
_cell_length_c 24.9325
_cell_angle_alpha 90.00
_cell_angle_beta 90.00
_cell_angle_gamma 90.00
_symmetry_space_group_name_H-M 'I m m m'
_symmetry_Int_Tables_number 71
_symmetry_space_group_name_Hall '-I 2 2'
loop_
_atom_site_label
_atom_site_type_symbol
_atom_site_fract_x
_atom_site_fract_y
_atom_site_fract_z
_atom_site_occupancy
La1 La 0.0000 0.0000 0.0952 1
La2 La 0.0000 0.5000 0.1991 1
Sm1 Sm 0.0000 0.0000 0.4046 1
Sm2 Sm 0.0000 0.5000 0.0000 1
Hg1 Hg 0.0000 0.5000 0.3259 1
Hg2 Hg 0.0000 0.5000 0.5000 1
N1 N 0.0000 0.5000 0.1005 1
```

Calculated values
E_form (uncorrected)	-0.74	eV per atom



[2]
La12Sn4HgN3 after structural relaxation. Source: the Alexandria database, functional PBE.

CIF file:
```
data_La12Sn4HgN3
_chemical_formula_sum 'La24 Sn8 Hg2 N6'
_cell_length_a 10.5679
_cell_length_b 10.5679
_cell_length_c 10.5679
_cell_angle_alpha 90.00
_cell_angle_beta 90.00
_cell_angle_gamma 90.00
_symmetry_space_group_name_H-M 'I m -3 m'
_symmetry_Int_Tables_number 229
_symmetry_space_group_name_Hall '-I 4 2 3'
loop_
_atom_site_label
_atom_site_type_symbol
_atom_site_fract_x
_atom_site_fract_y
_atom_site_fract_z
_atom_site_occupancy
La1 La 0.0000 0.0000 0.2772 1
La2 La 0.0000 0.2500 0.5000 1
Sn1 Sn 0.2500 0.2500 0.2500 1
Hg1 Hg 0.0000 0.0000 0.0000 1
N1 N 0.0000 0.0000 0.5000 1
```

Calculated values
E_form (uncorrected)	-0.75	eV per atom



[3]
La2TaHgN after structural relaxation. Source: the Alexandria database, functional PBE.

CIF file:
```
data_La2TaHgN
_chemical_formula_sum 'La2 Ta1 Hg1 N1'
_cell_length_a 5.3620
_cell_length_b 5.3620
_cell_length_c 4.0981
_cell_angle_alpha 90.00
_cell_angle_beta 90.00
_cell_angle_gamma 90.00
_symmetry_space_group_name_H-M 'P 4/m m m'
_symmetry_Int_Tables_number 123
_symmetry_space_group_name_Hall '-P 4 2'
loop_
_atom_site_label
_atom_site_type_symbol
_atom_site_fract_x
_atom_site_fract_y
_atom_site_fract_z
_atom_site_occupancy
La1 La 0.0000 0.5000 0.0000 1
Ta1 Ta 0.0000 0.0000 0.5000 1
Hg1 Hg 0.5000 0.5000 0.5000 1
N1 N 0.0000 0.0000 0.0000 1
```

Calculated values
E_form (uncorrected)	-0.60	eV per atom



[4]
LaTb2HgN after structural relaxation. Source: the Alexandria database, functional PBE.

CIF file:
```
data_LaTb2HgN
_chemical_formula_sum 'La1 Tb2 Hg1 N1'
_cell_length_a 4.8652
_cell_length_b 4.8652
_cell_length_c 5.0760
_cell_angle_alpha 90.00
_cell_angle_beta 90.00
_cell_angle_gamma 90.00
_symmetry_space_group_name_H-M 'P 4/m m m'
_symmetry_Int_Tables_number 123
_symmetry_space_group_name_Hall '-P 4 2'
loop_
_atom_site_label
_atom_site_type_symbol
_atom_site_fract_x
_atom_site_fract_y
_atom_site_fract_z
_atom_site_occupancy
La1 La 0.0000 0.0000 0.0000 1
Tb1 Tb 0.0000 0.5000 0.5000 1
Hg1 Hg 0.5000 0.5000 0.0000 1
N1 N 0.0000 0.0000 0.5000 1
```

Calculated values
E_form (uncorrected)	-0.84	eV per atom



[5]
La2TcHgN after structural relaxation. Source: the Alexandria database, functional PBE.

CIF file:
```
data_La2TcHgN
_chemical_formula_sum 'La2 Tc1 Hg1 N1'
_cell_length_a 5.3399
_cell_length_b 5.3399
_cell_length_c 3.9316
_cell_angle_alpha 90.00
_cell_angle_beta 90.00
_cell_angle_gamma 90.00
_symmetry_space_group_name_H-M 'P 4/m m m'
_symmetry_Int_Tables_number 123
_symmetry_space_group_name_Hall '-P 4 2'
loop_
_atom_site_label
_atom_site_type_symbol
_atom_site_fract_x
_atom_site_fract_y
_atom_site_fract_z
_atom_site_occupancy
La1 La 0.0000 0.5000 0.0000 1
Tc1 Tc 0.0000 0.0000 0.5000 1
Hg1 Hg 0.5000 0.5000 0.5000 1
N1 N 0.0000 0.0000 0.0000 1
```

Calculated values
E_form (uncorrected)	-0.66	eV per atom



[6]
LaHgTeN2 after structural relaxation. Source: the Alexandria database, functional PBE.

CIF file:
```
data_LaHgTeN2
_chemical_formula_sum 'La1 Hg1 Te1 N2'
_cell_length_a 4.5336
_cell_length_b 4.5336
_cell_length_c 5.4610
_cell_angle_alpha 90.00
_cell_angle_beta 90.00
_cell_angle_gamma 90.00
_symmetry_space_group_name_H-M 'P 4/m m m'
_symmetry_Int_Tables_number 123
_symmetry_space_group_name_Hall '-P 4 2'
loop_
_atom_site_label
_atom_site_type_symbol
_atom_site_fract_x
_atom_site_fract_y
_atom_site_fract_z
_atom_site_occupancy
La1 La 0.0000 0.0000 0.0000 1
Hg1 Hg 0.5000 0.5000 0.5000 1
Te1 Te 0.5000 0.5000 0.0000 1
N1 N 0.0000 0.5000 0.5000 1
```

Calculated values
E_form (uncorrected)	0.96	eV per atom
energy relative to the lowest polymorph listed for this composition	311.2	meV per atom



[7]
LaHgTeN2 after structural relaxation. Source: the Alexandria database, functional PBE.

CIF file:
```
data_LaHgTeN2
_chemical_formula_sum 'La1 Hg1 Te1 N2'
_cell_length_a 4.3297
_cell_length_b 4.3297
_cell_length_c 7.0542
_cell_angle_alpha 90.00
_cell_angle_beta 90.00
_cell_angle_gamma 90.00
_symmetry_space_group_name_H-M 'P 4/m m m'
_symmetry_Int_Tables_number 123
_symmetry_space_group_name_Hall '-P 4 2'
loop_
_atom_site_label
_atom_site_type_symbol
_atom_site_fract_x
_atom_site_fract_y
_atom_site_fract_z
_atom_site_occupancy
La1 La 0.0000 0.0000 0.0000 1
Hg1 Hg 0.5000 0.5000 0.5000 1
Te1 Te 0.0000 0.0000 0.5000 1
N1 N 0.0000 0.5000 0.0000 1
```

Calculated values
E_form (uncorrected)	0.65	eV per atom
energy relative to the lowest polymorph listed for this composition	0.0	meV per atom



[8]
La2VHgN after structural relaxation. Source: the Alexandria database, functional PBE.

CIF file:
```
data_La2VHgN
_chemical_formula_sum 'La2 V1 Hg1 N1'
_cell_length_a 5.3832
_cell_length_b 5.3832
_cell_length_c 3.9186
_cell_angle_alpha 90.00
_cell_angle_beta 90.00
_cell_angle_gamma 90.00
_symmetry_space_group_name_H-M 'P 4/m m m'
_symmetry_Int_Tables_number 123
_symmetry_space_group_name_Hall '-P 4 2'
loop_
_atom_site_label
_atom_site_type_symbol
_atom_site_fract_x
_atom_site_fract_y
_atom_site_fract_z
_atom_site_occupancy
La1 La 0.0000 0.5000 0.0000 1
V1 V 0.0000 0.0000 0.5000 1
Hg1 Hg 0.5000 0.5000 0.5000 1
N1 N 0.0000 0.0000 0.0000 1
```

Calculated values
E_form (uncorrected)	-0.69	eV per atom



[9]
LaY2HgN after structural relaxation. Source: the Alexandria database, functional PBE.

CIF file:
```
data_LaY2HgN
_chemical_formula_sum 'La1 Y2 Hg1 N1'
_cell_length_a 4.8514
_cell_length_b 4.8514
_cell_length_c 5.0756
_cell_angle_alpha 90.00
_cell_angle_beta 90.00
_cell_angle_gamma 90.00
_symmetry_space_group_name_H-M 'P 4/m m m'
_symmetry_Int_Tables_number 123
_symmetry_space_group_name_Hall '-P 4 2'
loop_
_atom_site_label
_atom_site_type_symbol
_atom_site_fract_x
_atom_site_fract_y
_atom_site_fract_z
_atom_site_occupancy
La1 La 0.0000 0.0000 0.0000 1
Y1 Y 0.0000 0.5000 0.5000 1
Hg1 Hg 0.5000 0.5000 0.0000 1
N1 N 0.0000 0.0000 0.5000 1
```

Calculated values
E_form (uncorrected)	-0.86	eV per atom



[10]
LaZr2HgN after structural relaxation. Source: the Alexandria database, functional PBE.

CIF file:
```
data_LaZr2HgN
_chemical_formula_sum 'La1 Zr2 Hg1 N1'
_cell_length_a 4.5641
_cell_length_b 4.5641
_cell_length_c 5.0721
_cell_angle_alpha 90.00
_cell_angle_beta 90.00
_cell_angle_gamma 90.00
_symmetry_space_group_name_H-M 'P 4/m m m'
_symmetry_Int_Tables_number 123
_symmetry_space_group_name_Hall '-P 4 2'
loop_
_atom_site_label
_atom_site_type_symbol
_atom_site_fract_x
_atom_site_fract_y
_atom_site_fract_z
_atom_site_occupancy
La1 La 0.0000 0.0000 0.0000 1
Zr1 Zr 0.0000 0.5000 0.5000 1
Hg1 Hg 0.5000 0.5000 0.0000 1
N1 N 0.0000 0.0000 0.5000 1
```

Calculated values
E_form (uncorrected)	-0.69	eV per atom



[11]
La2ZrHgN after structural relaxation. Source: the Alexandria database, functional PBE.

CIF file:
```
data_La2ZrHgN
_chemical_formula_sum 'La2 Zr1 Hg1 N1'
_cell_length_a 5.2592
_cell_length_b 5.2592
_cell_length_c 4.3913
_cell_angle_alpha 90.00
_cell_angle_beta 90.00
_cell_angle_gamma 90.00
_symmetry_space_group_name_H-M 'P 4/m m m'
_symmetry_Int_Tables_number 123
_symmetry_space_group_name_Hall '-P 4 2'
loop_
_atom_site_label
_atom_site_type_symbol
_atom_site_fract_x
_atom_site_fract_y
_atom_site_fract_z
_atom_site_occupancy
La1 La 0.0000 0.5000 0.0000 1
Zr1 Zr 0.0000 0.0000 0.5000 1
Hg1 Hg 0.5000 0.5000 0.5000 1
N1 N 0.0000 0.0000 0.0000 1
```

Calculated values
E_form (uncorrected)	-0.74	eV per atom



[12]
NaLaHg2 after structural relaxation. Source: the Alexandria database, functional PBE.

CIF file:
```
data_NaLaHg2
_chemical_formula_sum 'Na1 La1 Hg2'
_cell_length_a 5.5036
_cell_length_b 5.5036
_cell_length_c 3.7220
_cell_angle_alpha 90.00
_cell_angle_beta 90.00
_cell_angle_gamma 90.00
_symmetry_space_group_name_H-M 'P 4/m m m'
_symmetry_Int_Tables_number 123
_symmetry_space_group_name_Hall '-P 4 2'
loop_
_atom_site_label
_atom_site_type_symbol
_atom_site_fract_x
_atom_site_fract_y
_atom_site_fract_z
_atom_site_occupancy
Na1 Na 0.0000 0.0000 0.0000 1
La1 La 0.5000 0.5000 0.0000 1
Hg1 Hg 0.0000 0.5000 0.5000 1
```

Calculated values
formation energy	-1.46	eV/f.u.
energy relative to the lowest polymorph listed for this composition	43.9	meV per atom